one:
The following is a PBE calculation of a relaxed PdPb2Au crystal, from Alexandria.

Output
Its space group is R-3m, No. 166.

Cell lengths 3.3301, 3.3301, 10.3331 Å; angles 80.73, 80.73, 60.00 degrees
With the nearest neighbours (Å) after each atom.
Positions (direct):
Pb 0.0884 0.0884 0.7349  1 Pd 2.69
Pb 0.9116 0.9116 0.2651  1 Pd 2.69
Pd 0.0000 0.0000 0.0000  2 Pb 2.69
Au 0.5000 0.5000 0.5000  6 Pb 3.06, 6 Au 3.33

=====

two:
The following is a PBE calculation of a relaxed PdPb2Au crystal, from Alexandria.

Output
Its space group is I-42d, No. 122.

Cell lengths 7.8203, 7.8203, 6.3916 Å; angles 52.28, 52.28, 90.00 degrees
With the nearest neighbours (Å) after each atom.
Positions (direct):
Pb 0.1381 0.6250 0.2500  2 Pd 2.81, 2 Au 2.95
Pb 0.3750 0.3881 0.7500  2 Pd 2.81, 2 Au 2.95
Pb 0.6119 0.1250 0.2500  2 Pd 2.81, 2 Au 2.95
Pd 0.2500 0.7500 0.5000  4 Pb 2.81
Pb 0.8750 0.8619 0.7500  2 Pd 2.81, 2 Au 2.95
Au 0.0000 0.0000 0.0000  4 Pb 2.95, 2 Pd 3.21
Au 0.7500 0.2500 0.5000  4 Pb 2.95, 2 Pd 3.21
Pd 0.5000 0.5000 0.0000  4 Pb 2.81

=====

three:
The following is a PBE calculation of a relaxed PdPb2Au crystal, from Alexandria.

Output
Its space group is P4/mmm, No. 123.

Cell lengths 3.5809, 3.5809, 7.0765 Å; angles 90.00, 90.00, 90.00 degrees
With the nearest neighbours (Å) after each atom.
Positions (direct):
Pd 0.5000 0.5000 0.0000  8 Pb 3.04
Pb 0.0000 0.0000 0.2386  4 Pd 3.04, 4 Au 3.14, 1 Pb 3.38
Au 0.5000 0.5000 0.5000  8 Pb 3.14
Pb 0.0000 0.0000 0.7614  4 Pd 3.04, 4 Au 3.14, 1 Pb 3.38

=====

three is preferred energetically. Next in line: 130 meV per atom higher.

=====

one:
The following is a PBE calculation of a relaxed PdPb2Au crystal, from Alexandria.

Output
Its space group is Cm, No. 8.

Cell lengths 4.5040, 4.5040, 6.1305 Å; angles 90.23, 113.38, 117.03 degrees
With the nearest neighbours (Å) after each atom.
Positions (direct):
Pb 0.1709 0.8209 0.9919  3 Au 2.93-2.94, 1 Pd 3.09
Pd 0.7826 0.6456 0.4282  4 Pb 2.81-3.09, 3 Au 2.86-2.87
Au 0.9846 0.2391 0.2237  3 Pd 2.86-2.87, 3 Pb 2.93-2.94
Pb 0.5619 0.0444 0.6062  3 Pd 2.81-2.82

=====

two:
The following is a PBE calculation of a relaxed PdPb2Au crystal, from Alexandria.

Output
Its space group is P4/mmm, No. 123.

Cell lengths 3.5036, 5.0993, 5.0993 Å; angles 90.00, 90.00, 90.00 degrees
With the nearest neighbours (Å) after each atom.
Positions (direct):
Au 0.5000 0.0000 0.0000  8 Pb 3.09
Pb 0.0000 0.0000 0.5000  4 Pd 3.09, 4 Au 3.09
Pd 0.5000 0.5000 0.5000  8 Pb 3.09
Pb 0.0000 0.5000 0.0000  4 Pd 3.09, 4 Au 3.09

=====

one is preferred energetically. Next in line: 24 meV per atom higher.

=====

one:
The following is a PBE calculation of a relaxed PdPb3Au crystal, from Alexandria.

Output
Its space group is Pm-3m, No. 221.

Cell lengths 5.3211, 5.3211, 5.3211 Å; angles 90.00, 90.00, 90.00 degrees
With the nearest neighbours (Å) after each atom.
Positions (direct):
Au 0.5000 0.5000 0.5000  12 Pb 3.76
Pb 0.0000 0.0000 0.5000  2 Pd 2.66
Pb 0.5000 0.0000 0.0000  2 Pd 2.66
Pd 0.0000 0.0000 0.0000  6 Pb 2.66
Pb 0.0000 0.5000 0.0000  2 Pd 2.66

=====

two:
The following is a PBE calculation of a relaxed PdPb3Au crystal, from Alexandria.

Output
Its space group is P2_1/c, No. 14.

Cell lengths 6.1040, 9.8263, 9.0253 Å; angles 111.18, 90.00, 90.00 degrees
With the nearest neighbours (Å) after each atom.
Positions (direct):
Pb 0.5045 0.8247 0.2175  2 Au 2.93-2.95, 2 Pd 2.94-2.96
Pd 0.2546 0.4983 0.4996  8 Pb 2.94-3.08, 2 Pd 3.00-3.11
Au 0.1429 0.3837 0.9381  1 Au 2.77, 4 Pb 2.93-3.10
Au 0.8571 0.6163 0.0619  1 Au 2.77, 4 Pb 2.93-3.10
Pb 0.9955 0.3247 0.2175  2 Au 2.93-2.95, 2 Pd 2.94-2.96
Pd 0.2454 0.9983 0.4996  8 Pb 2.94-3.08, 2 Pd 3.00-3.11
Pb 0.0045 0.6753 0.7825  2 Au 2.93-2.95, 2 Pd 2.94-2.96
Au 0.3571 0.8837 0.9381  1 Au 2.77, 4 Pb 2.93-3.10
Pb 0.0007 0.0252 0.7965  2 Pd 2.99-3.00, 2 Au 3.10-3.12
Pb 0.4993 0.5252 0.7965  2 Pd 2.99-3.00, 2 Au 3.10-3.12
Pd 0.7546 0.0017 0.5004  8 Pb 2.94-3.08, 2 Pd 3.00-3.11
Au 0.6429 0.1163 0.0619  1 Au 2.77, 4 Pb 2.93-3.10
Pb 0.4878 0.2125 0.3932  1 Au 2.95, 4 Pd 2.98-3.08
Pb 0.9993 0.9748 0.2035  2 Pd 2.99-3.00, 2 Au 3.10-3.12
Pb 0.9878 0.2875 0.6068  1 Au 2.95, 4 Pd 2.98-3.08
Pb 0.5007 0.4748 0.2035  2 Pd 2.99-3.00, 2 Au 3.10-3.12
Pb 0.4955 0.1753 0.7825  2 Au 2.93-2.95, 2 Pd 2.94-2.96
Pd 0.7454 0.5017 0.5004  8 Pb 2.94-3.08, 2 Pd 3.00-3.11
Pb 0.0122 0.7125 0.3932  1 Au 2.95, 4 Pd 2.98-3.08
Pb 0.5122 0.7875 0.6068  1 Au 2.95, 4 Pd 2.98-3.08

=====

two is preferred energetically. Next in line: 320 meV per atom higher.

=====

one:
The following is a PBE calculation of a relaxed PdPbAu3 crystal, from Alexandria.

Output
Its space group is Pm-3m, No. 221.

Cell lengths 5.2606, 5.2606, 5.2606 Å; angles 90.00, 90.00, 90.00 degrees
With the nearest neighbours (Å) after each atom.
Positions (direct):
Pb 0.0000 0.0000 0.0000  6 Au 2.63
Au 0.0000 0.5000 0.0000  2 Pb 2.63
Au 0.0000 0.0000 0.5000  2 Pb 2.63
Au 0.5000 0.0000 0.0000  2 Pb 2.63
Pd 0.5000 0.5000 0.5000  12 Au 3.72

=====

two:
The following is a PBE calculation of a relaxed PdPbAu3 crystal, from Alexandria.

Output
Its space group is Pm-3m, No. 221.

Cell lengths 5.0628, 5.0628, 5.0628 Å; angles 90.00, 90.00, 90.00 degrees
With the nearest neighbours (Å) after each atom.
Positions (direct):
Au 0.5000 0.0000 0.0000  2 Pd 2.53
Au 0.0000 0.5000 0.0000  2 Pd 2.53
Pb 0.5000 0.5000 0.5000  12 Au 3.58
Pd 0.0000 0.0000 0.0000  6 Au 2.53
Au 0.0000 0.0000 0.5000  2 Pd 2.53

=====

two is preferred energetically. Next in line: 503 meV per atom higher.

=====

one:
The following is a PBE calculation of a relaxed Pd3Pb3Au crystal, from Alexandria.

Output
Its space group is P6_3/m, No. 176.

Cell lengths 4.8920, 8.4062, 8.4062 Å; angles 120.00, 90.00, 90.00 degrees
With the nearest neighbours (Å) after each atom.
Positions (direct):
Pb 0.2500 0.3403 0.4249  4 Pd 2.83-2.93
Pd 0.2500 0.2162 0.0436  4 Pb 2.83-2.93, 6 Pd 2.88-2.96
Pd 0.7500 0.1727 0.2162  4 Pb 2.83-2.93, 6 Pd 2.88-2.96
Pd 0.2500 0.8273 0.7838  4 Pb 2.83-2.93, 6 Pd 2.88-2.96
Pd 0.7500 0.0436 0.8273  4 Pb 2.83-2.93, 6 Pd 2.88-2.96
Au 0.2500 0.6667 0.3333  9 Pb 3.20, 3 Pd 3.32
Pd 0.2500 0.9564 0.1727  4 Pb 2.83-2.93, 6 Pd 2.88-2.96
Pd 0.7500 0.7838 0.9564  4 Pb 2.83-2.93, 6 Pd 2.88-2.96
Pb 0.7500 0.4249 0.0846  4 Pd 2.83-2.93
Au 0.7500 0.3333 0.6667  9 Pb 3.20, 3 Pd 3.32
Pb 0.7500 0.9154 0.3403  4 Pd 2.83-2.93
Pb 0.7500 0.6597 0.5751  4 Pd 2.83-2.93
Pb 0.2500 0.0846 0.6597  4 Pd 2.83-2.93
Pb 0.2500 0.5751 0.9154  4 Pd 2.83-2.93

=====

two:
The following is a PBE calculation of a relaxed Pd3Pb3Au crystal, from Alexandria.

Output
Its space group is Pnma, No. 62.

Cell lengths 3.6096, 13.3193, 12.4695 Å; angles 90.00, 90.00, 90.00 degrees
With the nearest neighbours (Å) after each atom.
Positions (direct):
Pb 0.7500 0.4775 0.8670  6 Pd 2.89-3.06, 2 Au 3.10
Pb 0.2500 0.2415 0.2094  5 Pd 2.86-3.02, 2 Au 2.99
Pb 0.7500 0.6479 0.5154  6 Pd 2.86-2.99, 2 Au 3.10
Pb 0.2500 0.0225 0.3670  6 Pd 2.89-3.06, 2 Au 3.10
Pd 0.2500 0.0429 0.1227  2 Au 2.80, 5 Pb 2.86-3.06
Pb 0.2500 0.5225 0.1330  6 Pd 2.89-3.06, 2 Au 3.10
Au 0.2500 0.0962 0.7903  4 Pd 2.80-3.01, 6 Pb 2.99-3.10
Pd 0.7500 0.4571 0.6227  2 Au 2.80, 5 Pb 2.86-3.06
Pb 0.7500 0.1479 0.9846  6 Pd 2.86-2.99, 2 Au 3.10
Au 0.2500 0.5962 0.7097  4 Pd 2.80-3.01, 6 Pb 2.99-3.10
Pb 0.2500 0.3521 0.4846  6 Pd 2.86-2.99, 2 Au 3.10
Au 0.7500 0.9038 0.2097  4 Pd 2.80-3.01, 6 Pb 2.99-3.10
Pb 0.2500 0.7415 0.2906  5 Pd 2.86-3.02, 2 Au 2.99
Pd 0.2500 0.6396 0.9377  2 Pd 2.85, 6 Pb 2.89-3.02, 1 Au 2.90
Pd 0.2500 0.7982 0.6015  2 Pd 2.85, 6 Pb 2.90-3.02, 1 Au 3.01
Pb 0.7500 0.9775 0.6330  6 Pd 2.89-3.06, 2 Au 3.10
Pd 0.7500 0.2018 0.3985  2 Pd 2.85, 6 Pb 2.90-3.02, 1 Au 3.01
Pb 0.7500 0.7585 0.7906  5 Pd 2.86-3.02, 2 Au 2.99
Pd 0.2500 0.5429 0.3773  2 Au 2.80, 5 Pb 2.86-3.06
Pd 0.2500 0.1396 0.5623  2 Pd 2.85, 6 Pb 2.89-3.02, 1 Au 2.90
Pd 0.7500 0.8604 0.4377  2 Pd 2.85, 6 Pb 2.89-3.02, 1 Au 2.90
Au 0.7500 0.4038 0.2903  4 Pd 2.80-3.01, 6 Pb 2.99-3.10
Pd 0.2500 0.2982 0.8985  2 Pd 2.85, 6 Pb 2.90-3.02, 1 Au 3.01
Pb 0.2500 0.8521 0.0154  6 Pd 2.86-2.99, 2 Au 3.10
Pb 0.7500 0.2585 0.7094  5 Pd 2.86-3.02, 2 Au 2.99
Pd 0.7500 0.7018 0.1015  2 Pd 2.85, 6 Pb 2.90-3.02, 1 Au 3.01
Pd 0.7500 0.3604 0.0623  2 Pd 2.85, 6 Pb 2.89-3.02, 1 Au 2.90
Pd 0.7500 0.9571 0.8773  2 Au 2.80, 5 Pb 2.86-3.06

=====

one is preferred energetically. Next in line: 6 meV per atom higher.

=====

one:
The following is a PBE calculation of a relaxed Pd2PbAu2 crystal, from Alexandria.

Output
Its space group is P4/mbm, No. 127.

Cell lengths 7.7596, 7.7596, 3.2162 Å; angles 90.00, 90.00, 90.00 degrees
With the nearest neighbours (Å) after each atom.
Positions (direct):
Au 0.6338 0.1338 0.0000  6 Pd 2.76-2.81, 1 Au 2.94, 2 Pb 3.03
Pd 0.3387 0.1613 0.5000  6 Au 2.76-2.81
Pd 0.6613 0.8387 0.5000  6 Au 2.76-2.81
Au 0.8662 0.6338 0.0000  6 Pd 2.76-2.81, 1 Au 2.94, 2 Pb 3.03
Au 0.1338 0.3662 0.0000  6 Pd 2.76-2.81, 1 Au 2.94, 2 Pb 3.03
Pd 0.8387 0.3387 0.5000  6 Au 2.76-2.81
Pb 0.0000 0.0000 0.0000  4 Au 3.03, 2 Pb 3.22, 8 Pd 3.33
Pb 0.5000 0.5000 0.0000  4 Au 3.03, 2 Pb 3.22, 8 Pd 3.33
Pd 0.1613 0.6613 0.5000  6 Au 2.76-2.81
Au 0.3662 0.8662 0.0000  6 Pd 2.76-2.81, 1 Au 2.94, 2 Pb 3.03

=====

two:
The following is a PBE calculation of a relaxed Pd2PbAu2 crystal, from Alexandria.

Output
Its space group is I4/mmm, No. 139.

Cell lengths 3.8747, 3.8747, 7.3024 Å; angles 74.62, 74.62, 90.00 degrees
With the nearest neighbours (Å) after each atom.
Positions (direct):
Au 0.7500 0.2500 0.5000  4 Au 2.74, 4 Pd 2.82
Pb 0.0000 0.0000 0.0000  8 Pd 3.05
Au 0.2500 0.7500 0.5000  4 Au 2.74, 4 Pd 2.82
Pd 0.5984 0.5984 0.8032  1 Pd 2.66, 4 Au 2.82
Pd 0.4016 0.4016 0.1968  1 Pd 2.66, 4 Au 2.82

=====

three:
The following is a PBE calculation of a relaxed Pd2PbAu2 crystal, from Alexandria.

Output
Its space group is I4/mmm, No. 139.

Cell lengths 3.9298, 3.9298, 7.2204 Å; angles 74.21, 74.21, 90.00 degrees
With the nearest neighbours (Å) after each atom.
Positions (direct):
Pb 0.0000 0.0000 0.0000  8 Au 3.11
Pd 0.7500 0.2500 0.5000  4 Au 2.76, 4 Pd 2.78
Au 0.6041 0.6041 0.7919  4 Pd 2.76, 1 Au 2.77
Pd 0.2500 0.7500 0.5000  4 Au 2.76, 4 Pd 2.78
Au 0.3959 0.3959 0.2081  4 Pd 2.76, 1 Au 2.77

=====

one is preferred energetically. Next in line: 25 meV per atom higher.